Record 1
DFT (PBE) results for a relaxed structure of AlTe2Se.

Results
E_tot = -13.744 eV/cell
Space-group type = R-3m
ΔE_f (raw) = -0.06 eV per atom
Volume = 121.1 Å³/cell

Cell: 8.8669 8.8669 8.8669 Å, 26.35 26.35 26.35°
Last column: nearest neighbours and their distance in Å.
Positions (direct):
1 Al 0.0000 0.0000 0.0000  6 Te 2.81
2 Te 0.3943 0.3943 0.3943  1 Se 2.71, 3 Al 2.81
3 Te 0.6057 0.6057 0.6057  1 Se 2.71, 3 Al 2.81
4 Se 0.5000 0.5000 0.5000  2 Te 2.71



Record 2
DFT (PBE) results for a relaxed structure of TlAgHg2F6.

Results
E_tot = -61.953 eV/cell
Space-group type = C2/c
ΔE_f (raw) = -1.39 eV per atom
Volume = 317.3 Å³/cell

Cell: 7.4507 7.4507 7.0742 Å, 105.19 105.19 57.87°
Last column: nearest neighbours and their distance in Å.
Positions (direct):
1 Tl 0.1881 0.8119 0.7500  4 F 2.51-2.81
2 Tl 0.8119 0.1881 0.2500  4 F 2.51-2.81
3 Ag 0.2422 0.7578 0.2500  4 F 2.41-2.47
4 Ag 0.7578 0.2422 0.7500  4 F 2.41-2.47
5 Hg 0.2542 0.2653 0.8824  6 F 2.37-2.57
6 Hg 0.2653 0.2542 0.3824  6 F 2.37-2.57
7 Hg 0.7347 0.7458 0.6176  6 F 2.37-2.57
8 Hg 0.7458 0.7347 0.1176  6 F 2.37-2.57
9 F 0.0239 0.6744 0.9635  2 Hg 2.37-2.57, 1 Ag 2.41
10 F 0.0287 0.6310 0.3947  3 Hg 2.38-2.67
11 F 0.3256 0.9761 0.5365  2 Hg 2.37-2.57, 1 Ag 2.41
12 F 0.3642 0.4101 0.7047  2 Hg 2.37-2.39, 1 Ag 2.47, 1 Tl 2.51
13 F 0.3690 0.9713 0.1053  3 Hg 2.38-2.67
14 F 0.4101 0.3642 0.2047  2 Hg 2.37-2.39, 1 Ag 2.47, 1 Tl 2.51
15 F 0.5899 0.6358 0.7953  2 Hg 2.37-2.39, 1 Ag 2.47, 1 Tl 2.51
16 F 0.6310 0.0287 0.8947  3 Hg 2.38-2.67
17 F 0.6358 0.5899 0.2953  2 Hg 2.37-2.39, 1 Ag 2.47, 1 Tl 2.51
18 F 0.6744 0.0239 0.4635  2 Hg 2.37-2.57, 1 Ag 2.41
19 F 0.9713 0.3690 0.6053  3 Hg 2.38-2.67
20 F 0.9761 0.3256 0.0365  2 Hg 2.37-2.57, 1 Ag 2.41



Record 3
DFT (PBE) results for a relaxed structure of CdIn3Au.

Results
E_tot = -11.821 eV/cell
Energy of formation = 0.117 eV per atom
Space-group type = Pm-3m
Energy above the most stable polymorph in this dataset = 0 meV/atom
Volume = 156.7 Å³/cell

Cell: 5.3917 5.3917 5.3917 Å, 90.00 90.00 90.00°
Last column: nearest neighbours and their distance in Å.
Positions (direct):
1 Cd 0.0000 0.0000 0.0000  12 In 3.81
2 In 0.0000 0.5000 0.5000  2 Au 2.70
3 In 0.5000 0.0000 0.5000  2 Au 2.70
4 In 0.5000 0.5000 0.0000  2 Au 2.70
5 Au 0.5000 0.5000 0.5000  6 In 2.70



Record 4
DFT (PBE) results for a relaxed structure of TbHo3Co8.

Results
E_tot = -77.764 eV/cell
Energy of formation = -0.213 eV per atom
Space-group type = R3m
Volume = 183.1 Å³/cell

Cell: 8.7678 8.7678 8.7678 Å, 33.52 33.52 33.52°
Last column: nearest neighbours and their distance in Å.
Positions (direct):
1 Tb 0.0000 0.0000 0.0000  12 Co 2.97-2.98, 4 Ho 3.10
2 Ho 0.3751 0.3751 0.3751  12 Co 2.97-2.98, 3 Tb 3.10, 1 Ho 3.10
3 Ho 0.5000 0.5000 0.5000  12 Co 2.96-2.97, 4 Ho 3.10
4 Ho 0.8750 0.8750 0.8750  12 Co 2.96-2.97, 3 Ho 3.10, 1 Tb 3.10
5 Co 0.1875 0.1875 0.1875  6 Co 2.53
6 Co 0.4374 0.4374 0.9366  6 Co 2.52-2.54
7 Co 0.4374 0.9366 0.4374  6 Co 2.52-2.54
8 Co 0.4386 0.9374 0.9374  6 Co 2.52-2.53
9 Co 0.6876 0.6876 0.6876  6 Co 2.53-2.54
10 Co 0.9366 0.4374 0.4374  6 Co 2.52-2.54
11 Co 0.9374 0.4386 0.9374  6 Co 2.52-2.53
12 Co 0.9374 0.9374 0.4386  6 Co 2.52-2.53



Record 5
DFT (PBE) results for a relaxed structure of Sm12Y3Th.

Results
E_tot = -83.040 eV/cell
Energy of formation = 0.025 eV per atom
Space-group type = P4/mmm
Volume = 534.4 Å³/cell

Cell: 5.1142 5.1142 20.4326 Å, 90.00 90.00 90.00°
Last column: nearest neighbours and their distance in Å.
Positions (direct):
1 Sm 0.0000 0.0000 0.0000  4 Y 3.62, 8 Sm 3.62
2 Sm 0.0000 0.0000 0.2483  8 Sm 3.59-3.67, 4 Y 3.62
3 Sm 0.0000 0.0000 0.5000  8 Sm 3.59, 4 Th 3.62
4 Sm 0.0000 0.0000 0.7517  8 Sm 3.59-3.67, 4 Y 3.62
5 Sm 0.0000 0.5000 0.1253  8 Sm 3.59-3.62, 4 Y 3.61-3.62
6 Sm 0.0000 0.5000 0.3769  2 Th 3.59, 8 Sm 3.59-3.67, 2 Y 3.64
7 Sm 0.0000 0.5000 0.6231  2 Th 3.59, 8 Sm 3.59-3.67, 2 Y 3.64
8 Sm 0.0000 0.5000 0.8747  8 Sm 3.59-3.62, 4 Y 3.61-3.62
9 Sm 0.5000 0.0000 0.1253  8 Sm 3.59-3.62, 4 Y 3.61-3.62
10 Sm 0.5000 0.0000 0.3769  2 Th 3.59, 8 Sm 3.59-3.67, 2 Y 3.64
11 Sm 0.5000 0.0000 0.6231  2 Th 3.59, 8 Sm 3.59-3.67, 2 Y 3.64
12 Sm 0.5000 0.0000 0.8747  8 Sm 3.59-3.62, 4 Y 3.61-3.62
13 Y 0.5000 0.5000 0.0000  12 Sm 3.62
14 Y 0.5000 0.5000 0.2501  12 Sm 3.61-3.64
15 Y 0.5000 0.5000 0.7499  12 Sm 3.61-3.64
16 Th 0.5000 0.5000 0.5000  12 Sm 3.59-3.62



Record 6
DFT (PBE) results for a relaxed structure of PrPd2Au9.

Results
E_tot = -46.432 eV/cell
Energy of formation = -0.148 eV per atom
Space-group type = R-3m
Energy above the most stable polymorph in this dataset = 77 meV/atom
Volume = 239.9 Å³/cell

Cell: 9.5869 9.5869 9.5869 Å, 33.57 33.57 33.57°
Last column: nearest neighbours and their distance in Å.
Positions (direct):
1 Pr 0.0000 0.0000 0.0000  6 Au 3.20
2 Pd 0.1532 0.1532 0.1532  12 Au 2.98-3.30, 3 Pd 3.28
3 Pd 0.8468 0.8468 0.8468  12 Au 2.98-3.30, 3 Pd 3.28
4 Au 0.0813 0.5895 0.5895  7 Au 2.71-2.85, 1 Pd 2.98
5 Au 0.3339 0.3339 0.3339  6 Au 2.84-2.85
6 Au 0.4105 0.4105 0.9187  7 Au 2.71-2.85, 1 Pd 2.98
7 Au 0.4105 0.9187 0.4105  7 Au 2.71-2.85, 1 Pd 2.98
8 Au 0.5000 0.5000 0.5000  6 Au 2.71
9 Au 0.5895 0.0813 0.5895  7 Au 2.71-2.85, 1 Pd 2.98
10 Au 0.5895 0.5895 0.0813  7 Au 2.71-2.85, 1 Pd 2.98
11 Au 0.6661 0.6661 0.6661  6 Au 2.84-2.85
12 Au 0.9187 0.4105 0.4105  7 Au 2.71-2.85, 1 Pd 2.98



Record 7
DFT (PBE) results for a relaxed structure of KLa2Cu2S4.

Results
E_tot = -46.806 eV/cell
Space-group type = C2/m
ΔE_f (raw) = -1.24 eV per atom
Volume = 194.5 Å³/cell

Cell: 7.8633 7.8633 7.3428 Å, 113.16 113.16 27.95°
Last column: nearest neighbours and their distance in Å.
Positions (direct):
1 K 0.0000 0.0000 0.0000  6 S 2.98-3.05
2 La 0.1270 0.1270 0.5552  7 S 2.90-3.24
3 La 0.8730 0.8730 0.4448  7 S 2.90-3.24
4 Cu 0.3117 0.3117 0.9965  4 S 2.36-2.62
5 Cu 0.6883 0.6883 0.0035  4 S 2.36-2.62
6 S 0.2174 0.2174 0.2253  3 Cu 2.42-2.62
7 S 0.4611 0.4611 0.2718  1 Cu 2.36
8 S 0.5389 0.5389 0.7282  1 Cu 2.36
9 S 0.7826 0.7826 0.7747  3 Cu 2.42-2.62



Record 8
DFT (PBE) results for a relaxed structure of LaHPt2.

Results
E_tot = -19.544 eV/cell
Space-group type = R-3m
Energy above the most stable polymorph in this dataset = 790 meV/atom
Volume = 64.3 Å³/cell

Cell: 8.1233 8.1233 8.1233 Å, 21.71 21.71 21.71°
Last column: nearest neighbours and their distance in Å.
Positions (direct):
1 La 0.0000 0.0000 0.0000  2 Pt 2.74, 6 La 3.06
2 H 0.5000 0.5000 0.5000  6 Pt 2.15
3 Pt 0.1152 0.1152 0.1152  3 H 2.15
4 Pt 0.8848 0.8848 0.8848  3 H 2.15



Record 9
DFT (PBE) results for a relaxed structure of ZrIn2Co.

Results
E_tot = -21.306 eV/cell
Energy of formation = -0.044 eV per atom
Space-group type = P4/mmm
Volume = 76.8 Å³/cell

Cell: 4.2116 4.2116 4.3309 Å, 90.00 90.00 90.00°
Last column: nearest neighbours and their distance in Å.
Positions (direct):
1 Zr 0.0000 0.0000 0.0000  4 Co 2.98, 8 In 3.02
2 In 0.0000 0.5000 0.5000  4 In 2.98, 4 Zr 3.02, 4 Co 3.02
3 In 0.5000 0.0000 0.5000  4 In 2.98, 4 Zr 3.02, 4 Co 3.02
4 Co 0.5000 0.5000 0.0000  4 Zr 2.98, 8 In 3.02



Record 10
DFT (PBE) results for a relaxed structure of LiCeNp2N4.

Results
E_tot = -75.608 eV/cell
Space-group type = P2/m
ΔE_f (raw) = -1.07 eV per atom
Volume = 117.3 Å³/cell

Cell: 5.9132 3.5095 5.9576 Å, 90.00 108.45 90.00°
Last column: nearest neighbours and their distance in Å.
Positions (direct):
1 Li 0.0000 0.0000 0.0000  6 N 2.48-2.66
2 Ce 0.0000 0.5000 0.5000  6 N 2.53-2.55
3 Np 0.5000 0.0000 0.5000  6 N 2.29-2.34
4 Np 0.5000 0.5000 0.0000  6 N 2.31-2.39
5 N 0.2742 0.0000 0.7594  3 Np 2.34-2.39, 1 Li 2.48, 2 Ce 2.55
6 N 0.2992 0.5000 0.2761  3 Np 2.29-2.31, 1 Ce 2.53
7 N 0.7008 0.5000 0.7239  3 Np 2.29-2.31, 1 Ce 2.53
8 N 0.7258 0.0000 0.2406  3 Np 2.34-2.39, 1 Li 2.48, 2 Ce 2.55



What is the volume in the first record?
121.1 Å³/cell